Entry from OQMD via LeMat-Bulk: Nd4Ge3 after structural relaxation (PBE).

Geometry as POSCAR:
```
Nd4Ge3
1.0
2.098 -1.168 7.577
-7.571 -2.194 -1.022
4.678 -4.336 -4.743
Ge Nd
6 8
Cartesian
0.527 -2.113 5.782
-5.193 -3.149 -1.132
-2.613 -4.001 2.191
1.658 -4.409 2.335
-0.437 -5.061 -1.354
3.671 -4.360 -2.383
-3.512 -1.249 0.477
-2.463 -1.833 4.266
1.659 -1.150 3.170
-0.294 -2.845 0.670
1.352 -2.454 -2.505
-2.434 -3.551 -3.015
3.998 -3.318 0.798
-0.692 -6.694 1.576
```

## Properties
Energy ... -77.26 eV for the cell shown
M_tot ... 0.0 μB per formula unit